1.
The following is a PBE calculation of a relaxed structure of Sc7Fe6, from Alexandria via LeMat-Bulk.

The structure in POSCAR format:
```
Sc7Fe6
1.0
9.033 0.000 0.000
7.180 5.481 0.000
7.180 2.427 4.914
Sc Fe
7 6
Direct
0.579 0.579 0.069
0.069 0.579 0.579
0.421 0.421 0.931
0.421 0.931 0.421
0.500 0.500 0.500
0.579 0.069 0.579
0.931 0.421 0.421
0.333 0.333 0.333
0.952 0.952 0.952
0.860 0.860 0.860
0.048 0.048 0.048
0.667 0.667 0.667
0.140 0.140 0.140
```

Properties
total magnetization: 0.758 μB per atom
ΔE_f: 12.576 kcal/mol of atoms

---

2.
The following is a PBE calculation of a relaxed structure of CaGaI2O, from Alexandria via LeMat-Bulk.

The structure in POSCAR format:
```
CaGaI2O
1.0
5.974 0.000 0.000
0.000 5.974 0.000
0.000 0.000 3.785
I Ca Ga O
2 1 1 1
Direct
0.500 0.000 0.000
0.000 0.500 0.000
0.500 0.500 0.500
0.000 0.000 0.000
0.000 0.000 0.500
```

Properties
energy above the lowest structure with this stoichiometry: 0.000 eV/atom
total magnetization: 0.000 μB per atom
formation energy without anion corrections: -908 meV per atom

---

3.
The following is a PBE calculation of a relaxed structure of Pa5TeSe4, from Alexandria via LeMat-Bulk.

The structure in POSCAR format:
```
Pa5TeSe4
1.0
3.779 0.000 -0.729
-0.301 5.628 -1.562
0.261 0.171 11.512
Pa Se Te
5 4 1
Direct
0.609 0.109 0.219
0.391 0.891 0.781
0.000 0.500 0.000
0.804 0.304 0.608
0.196 0.696 0.392
0.794 0.794 0.587
0.402 0.402 0.804
0.598 0.598 0.196
0.206 0.206 0.413
0.000 0.000 0.000
```

Properties
total magnetization: 0.211 μB per atom
formation energy without anion corrections: -1060 meV per atom

---

4.
The following is a PBE calculation of a relaxed structure of K2HfMn, from Alexandria via LeMat-Bulk.

The structure in POSCAR format:
```
K2HfMn
1.0
-4.052 -6.027 -10.502
7.988 -9.654 2.458
0.385 -8.847 -2.834
Hf K Mn
2 4 2
Direct
0.750 0.250 0.500
0.000 0.000 0.000
0.375 0.536 0.750
0.464 0.125 0.250
0.286 0.625 0.250
0.875 0.714 0.750
0.250 0.750 0.500
0.500 0.500 0.000
```

Properties
energy above the lowest structure with this stoichiometry: 0.000 eV/atom
total magnetization: 0.083 μB per atom
ΔE_f: 31.091 kcal/mol of atoms

---

5.
The following is a PBE calculation of a relaxed structure of YMg2Br, from Alexandria via LeMat-Bulk.

The structure in POSCAR format:
```
YMg2Br
1.0
-1.964 1.725 5.561
0.619 -3.868 1.418
3.899 1.013 1.063
Y Mg Br
1 2 1
Direct
0.500 0.500 0.000
0.000 0.500 0.500
0.000 0.000 0.000
0.500 0.000 0.500
```

Properties
energy above the lowest structure with this stoichiometry: 0.201 eV/atom
total magnetization: 0.000 μB per atom
formation energy without anion corrections: -229 meV per atom

---

6.
The following is a PBE calculation of a relaxed structure of Li3ZnBi2, from Alexandria via LeMat-Bulk.

The structure in POSCAR format:
```
Li3ZnBi2
1.0
4.363 0.010 -0.010
0.021 8.742 0.038
-2.208 -4.347 6.665
Zn Bi Li
2 4 6
Direct
0.000 0.000 0.000
0.000 0.500 0.000
0.648 0.149 0.300
0.648 0.649 0.300
0.352 0.851 0.700
0.352 0.351 0.700
0.500 0.750 0.000
0.163 0.913 0.327
0.163 0.413 0.327
0.837 0.087 0.673
0.500 0.250 0.000
0.837 0.587 0.673
```

Properties
total magnetization: 0.000 μB per atom
ΔE_f: -6.939 kcal/mol of atoms

---

7.
The following is a PBE calculation of a relaxed structure of CaDyI5, from Alexandria via LeMat-Bulk.

The structure in POSCAR format:
```
CaDyI5
1.0
7.730 0.879 -2.191
-2.248 7.554 -1.791
-0.659 -0.865 11.954
I Ca Dy
10 2 2
Direct
0.267 0.787 0.500
0.288 0.267 0.000
0.276 0.838 0.146
0.733 0.213 0.500
0.712 0.733 0.000
0.724 0.162 0.854
0.987 0.237 0.250
0.308 0.370 0.646
0.692 0.630 0.354
0.013 0.763 0.750
0.689 0.939 0.250
0.311 0.061 0.750
0.000 0.500 0.500
0.000 0.000 0.000
```

Properties
total magnetization: 0.000 μB per atom
formation energy without anion corrections: -1399 meV per atom

---

8.
The following is a PBE calculation of a relaxed structure of Ge3CSe, from Alexandria via LeMat-Bulk.

The structure in POSCAR format:
```
Ge3CSe
1.0
4.490 0.000 0.000
0.000 4.490 0.000
0.000 0.000 4.490
C Ge Se
1 3 1
Direct
0.000 0.000 0.000
0.000 0.000 0.500
0.500 0.000 0.000
0.000 0.500 0.000
0.500 0.500 0.500
```

Properties
energy above the lowest structure with this stoichiometry: 0.000 eV/atom
total magnetization: 0.000 μB per atom
formation energy without anion corrections: 899 meV per atom

---

9.
The following is a PBE calculation of a relaxed structure of PrTcGe2, from Alexandria via LeMat-Bulk.

The structure in POSCAR format:
```
PrTcGe2
1.0
4.942 0.000 0.000
2.471 4.280 0.000
2.471 1.427 6.395
Ge Tc Pr
2 1 1
Direct
0.125 0.125 0.626
0.875 0.875 0.374
0.000 0.000 0.000
0.500 0.500 0.500
```

Properties
energy above the lowest structure with this stoichiometry: 1.498 eV/atom
total magnetization: 0.698 μB per atom
ΔE_f: 22.442 kcal/mol of atoms

---

10.
The following is a PBE calculation of a relaxed structure of DyTlHg2, from Alexandria via LeMat-Bulk.

The structure in POSCAR format:
```
DyTlHg2
1.0
3.863 0.000 0.000
0.000 3.863 0.000
0.000 0.000 7.053
Hg Tl Dy
2 1 1
Direct
0.000 0.000 0.235
0.000 0.000 0.765
0.500 0.500 0.500
0.500 0.500 0.000
```

Properties
total magnetization: 0.000 μB per atom
ΔE_f: -5.816 kcal/mol of atoms

---

11.
The following is a PBE calculation of a relaxed structure of PmTh2In, from Alexandria via LeMat-Bulk.

The structure in POSCAR format:
```
PmTh2In
1.0
-0.186 -3.434 0.834
1.000 -2.448 -2.351
11.076 -1.536 3.646
Pm Th In
1 2 1
Direct
0.666 0.666 0.002
0.087 0.087 0.738
0.246 0.246 0.261
0.500 0.500 0.499
```

Properties
energy above the lowest structure with this stoichiometry: 0.176 eV/atom
total magnetization: 0.000 μB per atom
ΔE_f: -0.269 kcal/mol of atoms

---

12.
The following is a PBE calculation of a relaxed structure of Pm3NiAu2, from Alexandria via LeMat-Bulk.

The structure in POSCAR format:
```
Pm3NiAu2
1.0
-3.444 -4.380 2.140
-1.444 -2.589 -7.623
7.299 -1.098 1.178
Ni Au Pm
2 4 6
Direct
0.001 0.250 0.000
0.999 0.750 0.000
0.673 0.087 0.350
0.327 0.913 0.650
0.323 0.413 0.650
0.677 0.587 0.350
0.501 0.250 0.000
0.855 0.926 0.706
0.851 0.426 0.706
0.149 0.574 0.294
0.145 0.074 0.294
0.499 0.750 0.000
```

Properties
energy above the lowest structure with this stoichiometry: 0.100 eV/atom
total magnetization: 0.000 μB per atom
ΔE_f: -11.912 kcal/mol of atoms

---

13.
The following is a PBE calculation of a relaxed structure of InNiPd2C, from Alexandria via LeMat-Bulk.

The structure in POSCAR format:
```
InNiPd2C
1.0
-1.693 3.829 2.451
-3.082 -0.431 -1.456
-1.315 -2.916 3.647
Ni Pd C In
1 2 1 1
Direct
0.000 0.000 0.000
0.000 0.000 0.500
0.500 0.000 0.000
0.000 0.500 0.000
0.500 0.500 0.500
```

Properties
total magnetization: 0.000 μB per atom
ΔE_f: 13.848 kcal/mol of atoms

---

14.
The following is a PBE calculation of a relaxed structure of Ac3Pr2Zn3, from Alexandria via LeMat-Bulk.

The structure in POSCAR format:
```
Ac3Pr2Zn3
1.0
3.850 0.000 -0.620
-0.212 5.471 -1.316
-0.043 -0.015 11.994
Pr Zn Ac
2 3 3
Direct
0.730 0.230 0.460
0.270 0.770 0.540
0.000 0.500 0.000
0.121 0.121 0.243
0.879 0.879 0.757
0.381 0.381 0.763
0.500 0.000 0.000
0.619 0.619 0.237
```

Properties
total magnetization: 0.000 μB per atom
ΔE_f: -4.352 kcal/mol of atoms

---

15.
The following is a PBE calculation of a relaxed structure of Y2ScSb, from Alexandria via LeMat-Bulk.

The structure in POSCAR format:
```
Y2ScSb
1.0
-0.056 -7.269 -4.701
8.409 1.072 -1.757
4.918 -4.747 -0.688
Y Sb Sc
4 2 2
Direct
0.375 0.350 0.750
0.100 0.625 0.250
0.650 0.125 0.250
0.875 0.900 0.750
0.000 0.000 0.000
0.750 0.250 0.500
0.500 0.500 0.000
0.250 0.750 0.500
```

Properties
total magnetization: 0.065 μB per atom
formation energy without anion corrections: -134 meV per atom

---

16.
The following is a PBE calculation of a relaxed structure of BeAsOs2, from Alexandria via LeMat-Bulk.

The structure in POSCAR format:
```
BeAsOs2
1.0
3.882 0.000 0.000
0.000 2.864 0.021
0.000 -1.642 5.208
As Os Be
1 2 1
Direct
0.500 0.250 0.250
0.000 0.366 0.542
0.000 0.134 0.958
0.500 0.750 0.750
```

Properties
energy above the lowest structure with this stoichiometry: 0.231 eV/atom
total magnetization: 0.000 μB per atom
ΔE_f: 8.207 kcal/mol of atoms

---

17.
The following is a PBE calculation of a relaxed structure of KMn2Pt, from Alexandria via LeMat-Bulk.

The structure in POSCAR format:
```
KMn2Pt
1.0
-2.752 -2.734 3.201
4.015 1.571 2.589
-1.497 2.470 0.822
K Pt Mn
1 1 2
Direct
0.000 0.500 0.500
0.500 0.000 0.500
0.000 0.000 0.000
0.500 0.500 0.000
```

Properties
energy above the lowest structure with this stoichiometry: 0.362 eV/atom
total magnetization: 2.030 μB per atom
ΔE_f: 16.370 kcal/mol of atoms